# TlFeHg2F8 PBE with a Hubbard U optimized geometry
# electronic total energy: -3.7821 eV per atom
data_TlFeHg2F8
_chemical_formula_sum 'Tl1 Fe1 Hg2 F8'
_symmetry_space_group_name_H-M 'P -1'
_symmetry_Int_Tables_number 2
_cell_length_a 5.014
_cell_length_b 5.307
_cell_length_c 7.603
_cell_angle_alpha 93.31
_cell_angle_beta 90.60
_cell_angle_gamma 90.81
loop_
_symmetry_equiv_pos_as_xyz
'x,y,z'
'-x,-y,-z'
loop_
_atom_site_label
_atom_site_type_symbol
_atom_site_fract_x
_atom_site_fract_y
_atom_site_fract_z
_atom_site_occupancy
Tl1 Tl 0.000 0.000 0.000 1
Fe1 Fe 0.000 0.000 0.500 1
Hg1 Hg 0.470 0.474 0.746 1
F1 F 0.156 0.788 0.309 1
F2 F 0.157 0.799 0.677 1
F3 F 0.312 0.248 0.510 1
F4 F 0.446 0.263 0.030 1